Below is SmSnPt after structural relaxation, with properties calculated at the GGA-PBE level.

## Properties
Total magnetization = 0.00 μB/cell
Energy relative to the elements = -1078 meV per atom

Lattice parameters (Å, degrees): 7.5911 7.5911 4.1041 90.00 90.00 120.00
Space group P-62m (No. 189)
One atom of each set of equivalent atoms:
Sm: 0.0000 0.5919 0.0000 [3 per cell]
Sn: 0.0000 0.2556 0.5000 [3 per cell]
Pt: 0.0000 0.0000 0.0000 [1 per cell]
Pt: 0.3333 0.6667 0.5000 [2 per cell]

---

Below is K2PuAgBr6 after structural relaxation, with properties calculated at the GGA-PBE level.

## Properties
Final energy = -43.22 eV per formula unit
Total magnetization = 10.00 μB/cell

Lattice parameters (Å, degrees): 7.6415 8.1261 13.2889 90.00 124.23 90.00
Space group P2_1/c (No. 14)
One atom of each set of equivalent atoms:
K: 0.2201 0.0784 0.2480 [4 per cell]
Pu: 0.5000 0.0000 0.0000 [2 per cell]
Ag: 0.0000 0.0000 0.5000 [2 per cell]
Br: 0.1421 0.1954 0.9453 [4 per cell]
Br: 0.2610 0.7007 0.9499 [4 per cell]
Br: 0.3542 0.0297 0.7485 [4 per cell]

---

Below is Mo2Pd2N after structural relaxation, with properties calculated at the GGA-PBE level.

## Properties
Total magnetization = 0.00 μB/cell
Offset from the most stable computed form = 0.000 eV/atom

Lattice parameters (Å, degrees): 5.4898 5.4898 4.8011 90.00 90.00 90.00
Space group P4/mbm (No. 127)
One atom of each set of equivalent atoms:
Mo: 0.1714 0.3286 0.0000 [4 per cell]
Pd: 0.1728 0.6728 0.5000 [4 per cell]
N: 0.0000 0.0000 0.0000 [2 per cell]